Density functional theory data (PBE+U) for crystalline Cr4Co3PbO12 at its relaxed geometry.

The size of the total moment is 0.249 μB per atom. Its density of states at the Fermi level is 6.96 states/eV per cell. The calculation puts the total energy at -6.823 eV per atom. The calculation puts the theoretical density at 6.29 Mg/m³. The space group is Im-3 (204).

a = 6.4542 Å, b = 6.4542 Å, c = 6.4542 Å
α = 109.47°, β = 109.47°, γ = 109.47°
Atoms (fractional coordinates):
Cr1 0.0000 0.0000 0.5000
Cr2 0.0000 0.5000 0.0000
Cr3 0.5000 0.0000 0.0000
Cr4 0.5000 0.5000 0.5000
Co1 0.0000 0.5000 0.5000
Co2 0.5000 0.0000 0.5000
Co3 0.5000 0.5000 0.0000
Pb1 0.0000 0.0000 0.0000
O1 0.1441 0.8258 0.3182
O2 0.1742 0.3182 0.4924
O3 0.1742 0.6818 0.8559
O4 0.3182 0.1441 0.8258
O5 0.3182 0.4924 0.1742
O6 0.4924 0.1742 0.3182
O7 0.5076 0.8258 0.6818
O8 0.6818 0.5076 0.8258
O9 0.6818 0.8559 0.1742
O10 0.8258 0.3182 0.1441
O11 0.8258 0.6818 0.5076
O12 0.8559 0.1742 0.6818